Entry 1:
This record from Alexandria via LeMat-Bulk describes a relaxed structure of BeGaRePt2. The functional is PBE.

For the density of states at the Fermi level, the calculation gives 0.533 states/eV/atom. The value obtained for the spin magnetization is 2.87 Bohr magnetons per cell. The value obtained for the total DFT energy (no corrections) is -5.10 eV/atom. The calculation puts the formation energy at 26.588 kcal/mol of atoms. Its calculated volume is 17.1 A^3/atom.

The structure belongs to space group P4/mmm (No. 123); the cell edges are 4.611, 4.611 and 4.032 Å and the angles 90.00°, 90.00° and 90.00°. Symmetry generates all atoms from Be at (0.000, 0.000, 0.000), Ga at (0.000, 0.000, 0.500), Re at (0.500, 0.500, 0.000) and Pt at (0.000, 0.500, 0.500).


Entry 2:
This record from Alexandria via LeMat-Bulk describes a relaxed structure of BeGa2RePt. The functional is PBE.

For the density of states at the Fermi level, the calculation gives 0.686 states/eV/atom. The value obtained for the spin magnetization is 3.22 Bohr magnetons per cell. The value obtained for the total DFT energy (no corrections) is -4.77 eV/atom. The calculation puts the formation energy at 20.347 kcal/mol of atoms. Its calculated volume is 18.9 A^3/atom.

The structure belongs to space group P4/mmm (No. 123); the cell edges are 4.743, 4.743 and 4.199 Å and the angles 90.00°, 90.00° and 90.00°. Symmetry generates all atoms from Be at (0.000, 0.000, 0.000), Ga at (0.000, 0.500, 0.500), Re at (0.500, 0.500, 0.000) and Pt at (0.000, 0.000, 0.500).


Entry 3:
This record from Alexandria via LeMat-Bulk describes a relaxed structure of BeGaPt2Rh. The functional is PBE.

For the density of states at the Fermi level, the calculation gives 1.250 states/eV/atom. The value obtained for the spin magnetization is 1.00 Bohr magnetons per cell. The value obtained for the total DFT energy (no corrections) is -4.08 eV/atom. The calculation puts the formation energy at 26.773 kcal/mol of atoms. Its calculated volume is 21.8 A^3/atom.

The structure belongs to space group P4/mmm (No. 123); the cell edges are 4.898, 4.898 and 4.545 Å and the angles 90.00°, 90.00° and 90.00°. Symmetry generates all atoms from Be at (0.000, 0.000, 0.000), Ga at (0.500, 0.500, 0.000), Pt at (0.000, 0.500, 0.500) and Rh at (0.500, 0.500, 0.500).


Entry 4:
This record from Alexandria via LeMat-Bulk describes a relaxed structure of Sc2Be3GaPt4. The functional is PBE.

For the density of states at the Fermi level, the calculation gives 0.455 states/eV/atom. The value obtained for the spin magnetization is 0.00 Bohr magnetons per cell. The value obtained for the total DFT energy (no corrections) is -5.95 eV/atom. The calculation puts the formation energy at -19.581 kcal/mol of atoms. Its calculated volume is 15.2 A^3/atom.

The structure belongs to space group P-4m2 (No. 115); the cell edges are 3.949, 3.949 and 9.749 Å and the angles 90.00°, 90.00° and 90.00°. Symmetry generates all atoms from Sc at (0.000, 0.500, 0.238), Be at (0.000, 0.500, 0.880), Be at (0.500, 0.500, 0.500), Ga at (0.000, 0.000, 0.500), Pt at (0.000, 0.000, 0.000), Pt at (0.000, 0.500, 0.651) and Pt at (0.500, 0.500, 0.000).


Entry 5:
This record from Alexandria via LeMat-Bulk describes a relaxed structure of Sc2Be4GaPt3. The functional is PBE.

For the density of states at the Fermi level, the calculation gives 0.539 states/eV/atom. The value obtained for the spin magnetization is 0.00 Bohr magnetons per cell. The value obtained for the total DFT energy (no corrections) is -5.58 eV/atom. The calculation puts the formation energy at -16.352 kcal/mol of atoms. Its calculated volume is 14.3 A^3/atom.

The structure belongs to space group P-4m2 (No. 115); the cell edges are 3.772, 3.772 and 10.066 Å and the angles 90.00°, 90.00° and 90.00°. Symmetry generates all atoms from Sc at (0.000, 0.500, 0.249), Be at (0.000, 0.000, 0.000), Be at (0.000, 0.500, 0.643), Be at (0.500, 0.500, 0.000), Ga at (0.000, 0.000, 0.500), Pt at (0.000, 0.500, 0.869) and Pt at (0.500, 0.500, 0.500).


Entry 6:
This record from Alexandria via LeMat-Bulk describes a relaxed structure of ScBeGaPt. The functional is PBE.

For the density of states at the Fermi level, the calculation gives 0.441 states/eV/atom. The value obtained for the spin magnetization is 0.00 Bohr magnetons per cell. The value obtained for the total DFT energy (no corrections) is -5.41 eV/atom. The calculation puts the formation energy at -14.532 kcal/mol of atoms. Its calculated volume is 14.6 A^3/atom.

The structure belongs to space group F-43m (No. 216); the cell edges are 6.156, 6.156 and 6.156 Å and the angles 90.00°, 90.00° and 90.00°. Symmetry generates all atoms from Sc at (0.000, 0.000, 0.000), Be at (0.250, 0.250, 0.750), Ga at (0.250, 0.250, 0.250) and Pt at (0.000, 0.000, 0.500).